1.
Y5CdIn6 | GGA-PBE | optimized geometry

Computed properties:
Mass density   6.6 g/cm³
Energy of formation   -42.0 kJ/mol of atoms

Lattice parameters (Å, degrees): 4.8088 8.9132 14.7120 90.00 90.00 90.00
Closest atoms and distances in Å follow each position.
Space group Immm (No. 71)
Asymmetric unit:
1 Y 0.0000 0.0000 0.0000 [2 per cell]  8 In 3.23-3.34, 4 Y 3.48
2 Y 0.0000 0.0000 0.3517 [4 per cell]  8 In 3.17-3.45, 2 Cd 3.25
3 Y 0.0000 0.5000 0.3288 [4 per cell]  8 In 3.24-3.31, 4 Y 3.48-3.58
4 Cd 0.0000 0.5000 0.0000 [2 per cell]  4 Y 3.25, 8 In 3.33-3.38
5 In 0.0000 0.2460 0.1710 [8 per cell]  7 Y 3.24-3.45, 4 In 3.35-3.48, 1 Cd 3.38
6 In 0.0000 0.2584 0.5000 [4 per cell]  6 Y 3.17-3.31, 2 Cd 3.33, 4 In 3.48



2.
Y4CdIn | GGA-PBE | optimized geometry

Computed properties:
ΔE to the lowest computed polymorph   287 meV per atom
Mass density   5.4 g/cm³
Energy of formation   21.6 kJ/mol of atoms

Lattice parameters (Å, degrees): 8.9673 8.9673 8.9673 90.00 90.00 90.00
Closest atoms and distances in Å follow each position.
Space group F-43m (No. 216)
Asymmetric unit:
1 Y 0.1253 0.1253 0.1253 [16 per cell]  6 Y 3.16-3.18
2 Cd 0.2500 0.2500 0.7500 [4 per cell]  12 Y 3.72, 4 In 3.88
3 In 0.0000 0.0000 0.5000 [4 per cell]  12 Y 3.72, 4 Cd 3.88



3.
Y4CdIn | GGA-PBE | optimized geometry

Computed properties:
ΔE to the lowest computed polymorph   0 meV per atom
Mass density   5.2 g/cm³
Energy of formation   -6.1 kJ/mol of atoms

Lattice parameters (Å, degrees): 3.6780 5.7089 8.7852 90.00 90.00 90.00
Closest atoms and distances in Å follow each position.
Space group Pmmm (No. 47)
Asymmetric unit:
1 Y 0.0000 0.0000 0.2016 [2 per cell]  2 In 3.20, 2 Cd 3.36, 5 Y 3.50-3.54
2 Y 0.5000 0.5000 0.2972 [2 per cell]  2 Cd 3.19, 2 In 3.37, 5 Y 3.50-3.56
3 Cd 0.0000 0.5000 0.0000 [1 per cell]  8 Y 3.19-3.36
4 In 0.5000 0.0000 0.5000 [1 per cell]  8 Y 3.20-3.37



4.
Y4CdIn | GGA-PBE | optimized geometry

Computed properties:
ΔE to the lowest computed polymorph   27 meV per atom
Mass density   4.9 g/cm³
Energy of formation   -3.5 kJ/mol of atoms

Lattice parameters (Å, degrees): 5.1596 5.1596 7.3787 90.00 90.00 90.00
Closest atoms and distances in Å follow each position.
Space group P4/mmm (No. 123)
Asymmetric unit:
1 Y 0.0000 0.5000 0.2447 [4 per cell]  2 Cd 3.15, 2 In 3.19
2 Cd 0.0000 0.0000 0.0000 [1 per cell]  8 Y 3.15
3 In 0.5000 0.5000 0.5000 [1 per cell]  8 Y 3.19



5.
YCdIn2 | GGA-PBE | optimized geometry

Computed properties:
Mass density   7.1 g/cm³
Energy of formation   -28.9 kJ/mol of atoms

Lattice parameters (Å, degrees): 4.5504 4.5506 9.7018 90.00 90.00 90.00
Closest atoms and distances in Å follow each position.
Space group Imm2 (No. 44)
Asymmetric unit:
1 Y 0.0000 0.0000 0.0000 [2 per cell]  8 In 3.22-3.33, 4 Cd 3.32-3.33
2 Cd 0.0000 0.5000 0.7499 [2 per cell]  8 In 3.22-3.33, 4 Y 3.32-3.33
3 In 0.0000 0.0000 0.4993 [2 per cell]  4 Y 3.22, 4 Cd 3.32-3.33, 4 In 3.32-3.33
4 In 0.0000 0.5000 0.2497 [2 per cell]  4 Cd 3.22, 4 In 3.32-3.33, 4 Y 3.32-3.33



6.
Y6Cd2In | GGA-PBE | optimized geometry

Computed properties:
Mass density   5.6 g/cm³
Energy of formation   -24.7 kJ/mol of atoms

Lattice parameters (Å, degrees): 5.1415 13.0674 15.4497 90.00 90.00 90.00
Closest atoms and distances in Å follow each position.
Space group Fmmm (No. 69)
Asymmetric unit:
1 Y 0.0000 0.1547 0.1670 [16 per cell]  3 Cd 3.27, 1 In 3.28, 8 Y 3.57-3.64
2 Y 0.0000 0.1555 0.5000 [8 per cell]  2 In 3.28, 2 Cd 3.28, 8 Y 3.56-3.64
3 Cd 0.0000 0.0000 0.3334 [8 per cell]  8 Y 3.27-3.28, 2 In 3.64, 2 Cd 3.64
4 In 0.0000 0.0000 0.0000 [4 per cell]  8 Y 3.28, 4 Cd 3.64